Record 1
Entry from Alexandria via LeMat-Bulk: crystalline MgNpInI6 at its relaxed geometry (PBE).

Values from the calculation:
energy	-67.66	eV per cell
energy relative to the elements, uncorrected	-0.81	eV per atom
symmetry	P-31c, No. 163
M_tot	4.00	μB/f.u.
theoretical density	4.69	Mg/m³
crystal system	trigonal

a = 7.8348 Å, b = 7.8348 Å, c = 15.1438 Å
α = 90.00°, β = 90.00°, γ = 120.00°
Sites, in units of the cell vectors:
1 Mg 0.3333 0.6667 0.2500
2 Mg 0.6667 0.3333 0.7500
3 Np 0.3333 0.6667 0.7500
4 Np 0.6667 0.3333 0.2500
5 In 0.0000 0.0000 0.0000
6 In 0.0000 0.0000 0.5000
7 I 0.0159 0.3718 0.1359
8 I 0.0159 0.6441 0.3641
9 I 0.3559 0.3718 0.3641
10 I 0.3559 0.9841 0.1359
11 I 0.3718 0.0159 0.6359
12 I 0.3718 0.3559 0.8641
13 I 0.6282 0.6441 0.1359
14 I 0.6282 0.9841 0.3641
15 I 0.6441 0.0159 0.8641
16 I 0.6441 0.6282 0.6359
17 I 0.9841 0.3559 0.6359
18 I 0.9841 0.6282 0.8641



Record 2
Entry from Alexandria via LeMat-Bulk: crystalline MgIn2IO8 at its relaxed geometry (PBE).

Values from the calculation:
energy	-61.46	eV per cell
energy relative to the elements, uncorrected	-1.10	eV per atom
symmetry	P2/m, No. 10
M_tot	1.01	μB/f.u.
theoretical density	5.52	Mg/m³
crystal system	monoclinic

a = 4.8519 Å, b = 6.5011 Å, c = 4.8577 Å
α = 90.00°, β = 91.58°, γ = 90.00°
Sites, in units of the cell vectors:
1 Mg 0.0000 0.0000 0.0000
2 In 0.5000 0.2475 0.5000
3 In 0.5000 0.7525 0.5000
4 I 0.0000 0.5000 0.0000
5 O 0.1814 0.2800 0.8200
6 O 0.1814 0.7200 0.8200
7 O 0.2845 0.5000 0.2860
8 O 0.2948 0.0000 0.2963
9 O 0.7052 0.0000 0.7037
10 O 0.7155 0.5000 0.7140
11 O 0.8186 0.2800 0.1800
12 O 0.8186 0.7200 0.1800



> energy of number 2 (MgIn2IO8)?

-61.46 eV per cell



> The highest M_tot belongs to which entry?

MgNpInI6



> Among the records above, which one has the highest energy?

MgIn2IO8